# 1
VASP calculation (GGA-PBE) on a relaxed structure of Ba2Li2Pb5.

## Properties
As for the space group: P4/mmm. Its energy of formation from the pure elements is -0.32 eV/atom. The electronic total energy comes out at -3.24 eV per atom.

Cell: 5.127 5.127 10.793 Å, 90.00 90.00 90.00°
Atoms (fractional coordinates):
Pb 0.500 0.000 0.258
Pb 0.000 0.500 0.742
Pb 0.000 0.500 0.258
Pb 0.500 0.000 0.742
Pb 0.500 0.500 0.500
Li 0.500 0.500 0.136
Li 0.500 0.500 0.864
Ba 0.000 0.000 0.000
Ba 0.000 0.000 0.500


# 2
VASP calculation (GGA-PBE) on a relaxed structure of ReHg2W.

## Properties
As for the space group: I4/mmm. Its energy of formation from the pure elements is 1.03 eV/atom. The electronic total energy comes out at -5.47 eV per atom.

Cell: 5.383 5.383 5.383 Å, 136.92 136.92 62.56°
Atoms (fractional coordinates):
W 0.750 0.250 0.500
Hg 0.500 0.500 0.000
Hg 0.000 0.000 0.000
Re 0.250 0.750 0.500


# 3
VASP calculation (GGA-PBE) on a relaxed structure of NiIrRh.

## Properties
As for the space group: C2/m. Its energy of formation from the pure elements is 0.02 eV/atom. The electronic total energy comes out at -7.31 eV per atom.

Cell: 3.773 4.660 5.268 Å, 107.45 90.00 113.88°
Atoms (fractional coordinates):
Rh 0.002 0.003 0.255
Rh 0.998 0.997 0.745
Ir 0.332 0.664 0.917
Ir 0.668 0.336 0.083
Ni 0.669 0.338 0.580
Ni 0.331 0.662 0.420


# 4
VASP calculation (GGA-PBE) on a relaxed structure of Tl2Sn3Pb.

## Properties
As for the space group: Cmcm. Its energy of formation from the pure elements is 0.12 eV/atom. The electronic total energy comes out at -3.29 eV per atom.

Cell: 6.527 8.091 8.467 Å, 118.54 90.00 90.00°
Atoms (fractional coordinates):
Tl 0.750 0.509 0.331
Tl 0.250 0.822 0.331
Tl 0.750 0.178 0.669
Tl 0.250 0.491 0.669
Sn 0.000 0.166 0.332
Sn 0.500 0.834 0.668
Sn 0.500 0.500 0.000
Sn 0.500 0.166 0.332
Sn 0.000 0.834 0.668
Sn 0.000 0.500 0.000
Pb 0.250 0.155 0.000
Pb 0.750 0.845 0.000


# 5
VASP calculation (GGA-PBE) on a relaxed structure of RbBa8Pd2.

## Properties
As for the space group: C2/m. Its energy of formation from the pure elements is -0.16 eV/atom. The electronic total energy comes out at -2.59 eV per atom.

Cell: 7.654 8.338 10.497 Å, 113.40 82.59 90.00°
Atoms (fractional coordinates):
Ba 0.088 0.213 0.426
Ba 0.179 0.578 0.157
Ba 0.821 0.422 0.843
Ba 0.608 0.395 0.292
Ba 0.912 0.787 0.574
Ba 0.392 0.605 0.708
Ba 0.608 0.897 0.292
Ba 0.392 0.103 0.708
Rb 0.000 0.000 0.000
Pd 0.674 0.273 0.546
Pd 0.326 0.727 0.454


# 6
VASP calculation (GGA-PBE) on a relaxed structure of LiAcCo4.

## Properties
As for the space group: F-43m. Its energy of formation from the pure elements is 0.16 eV/atom. The electronic total energy comes out at -5.58 eV per atom.

Cell: 5.094 5.094 5.094 Å, 60.00 60.00 60.00°
Site moments in Bohr magnetons follow the coordinates.
Atoms (fractional coordinates):
Co 0.626 0.122 0.626  1.44
Co 0.122 0.626 0.626  1.44
Co 0.626 0.626 0.626  1.44
Co 0.626 0.626 0.122  1.44
Li 0.000 0.000 0.000  -0.04
Ac 0.250 0.250 0.250  -0.17


Summary of total magnetic moment in μB/f.u.
0.0 0.0 0.0 0.0 0.0 5.2
(order as listed above)
Summary of calculated volume in Å³/atom
31.52 17.97 13.34 32.74 55.34 15.58
(order as listed above)